[1]
Here is an optimized crystal structure of CaPmNi10 from Alexandria via LeMat-Bulk. Energies are from PBE-GGA.

Properties
Calculated volume   166.7 Å³/cell
Calculated formation energy   -199 meV/atom
Total moment   3.4 μB/f.u.

Unit cell a=3.952 b=4.939 c=8.544 alpha=90.00 beta=90.00 gamma=90.00
Space group Pmmm (No. 47)
Inequivalent atoms, fractional coordinates:
Ca 0.000 0.000 0.000
Pm 0.000 0.500 0.500
Ni 0.000 0.000 0.332
Ni 0.000 0.500 0.166
Ni 0.500 0.000 0.500
Ni 0.500 0.251 0.251
Ni 0.500 0.500 0.000

[2]
Here is an optimized crystal structure of CaPmNi from Alexandria via LeMat-Bulk. Energies are from PBE-GGA.

Properties
Calculated volume   169.5 Å³/cell
Energy above the most stable polymorph in this dataset   97 meV/atom
Calculated formation energy   -128 meV/atom
Total moment   0.0 μB/f.u.

Unit cell a=6.047 b=3.934 c=7.592 alpha=90.00 beta=110.14 gamma=90.00
Space group P2_1/m (No. 11)
Inequivalent atoms, fractional coordinates:
Ca 0.204 0.250 0.177
Pm 0.251 0.250 0.683
Ni 0.370 0.750 0.954